A plane-wave DFT calculation with PBE was carried out for Co2PW after structural relaxation.

CIF file:
```
data_Co2PW
_chemical_formula_sum 'Co6 P3 W3'
_cell_length_a 2.6982
_cell_length_b 2.6982
_cell_length_c 23.3777
_cell_angle_alpha 90.00
_cell_angle_beta 90.00
_cell_angle_gamma 120.00
_space_group_name_H-M_alt 'R -3 m'
_space_group_IT_number 166
_space_group_name_Hall '-R 3 2"'
loop_
_atom_site_label
_atom_site_type_symbol
_atom_site_fract_x
_atom_site_fract_y
_atom_site_fract_z
Co1 Co 0.0000 0.0000 0.2390
P1 P 0.0000 0.0000 0.5000
W1 W 0.0000 0.0000 0.0000
```

Computed properties:
Calculated total energy ... -8.144 eV/atom

***

A plane-wave DFT calculation with PBE was carried out for Co3PW2 after structural relaxation.

CIF file:
```
data_Co3PW2
_chemical_formula_sum 'Co6 P2 W4'
_cell_length_a 4.7540
_cell_length_b 4.7540
_cell_length_c 7.3060
_cell_angle_alpha 90.00
_cell_angle_beta 90.00
_cell_angle_gamma 120.00
_space_group_name_H-M_alt 'P 63/m m c'
_space_group_IT_number 194
_space_group_name_Hall '-P 6c 2c'
loop_
_atom_site_label
_atom_site_type_symbol
_atom_site_fract_x
_atom_site_fract_y
_atom_site_fract_z
Co1 Co 0.1684 0.3369 0.2500
P1 P 0.0000 0.0000 0.0000
W1 W 0.3333 0.6667 0.5648
```

Computed properties:
Calculated total energy ... -9.046 eV/atom

***

A plane-wave DFT calculation with PBE was carried out for Co2PW after structural relaxation.

CIF file:
```
data_Co2PW
_chemical_formula_sum 'Co2 P1 W1'
_cell_length_a 2.797
_cell_length_b 3.521
_cell_length_c 4.963
_cell_angle_alpha 90.00
_cell_angle_beta 90.00
_cell_angle_gamma 90.00
_space_group_name_H-M_alt 'P m m m'
_space_group_IT_number 47
_space_group_name_Hall '-P 2 2'
loop_
_atom_site_label
_atom_site_type_symbol
_atom_site_fract_x
_atom_site_fract_y
_atom_site_fract_z
Co1 Co 0.000 0.000 0.244
P1 P 0.500 0.500 0.000
W1 W 0.500 0.500 0.500
```

Computed properties:
Calculated total energy ... -8.203 eV/atom

***

A plane-wave DFT calculation with PBE was carried out for CoPW4 after structural relaxation.

CIF file:
```
data_CoPW4
_chemical_formula_sum 'Co4 P4 W16'
_cell_length_a 7.384
_cell_length_b 7.384
_cell_length_c 7.384
_cell_angle_alpha 90.00
_cell_angle_beta 90.00
_cell_angle_gamma 90.00
_space_group_name_H-M_alt 'F -4 3 m'
_space_group_IT_number 216
_space_group_name_Hall 'F -4 2 3'
loop_
_atom_site_label
_atom_site_type_symbol
_atom_site_fract_x
_atom_site_fract_y
_atom_site_fract_z
Co1 Co 0.000 0.000 0.000
P1 P 0.250 0.250 0.250
W1 W 0.126 0.126 0.626
```

Computed properties:
Calculated total energy ... -9.710 eV/atom

***

A plane-wave DFT calculation with PBE was carried out for Co2PW after structural relaxation.

CIF file:
```
data_Co2PW
_chemical_formula_sum 'Co2 P1 W1'
_cell_length_a 2.733
_cell_length_b 3.769
_cell_length_c 4.867
_cell_angle_alpha 90.00
_cell_angle_beta 103.77
_cell_angle_gamma 90.00
_space_group_name_H-M_alt 'P 1 2/m 1'
_space_group_IT_number 10
_space_group_name_Hall '-P 2y'
loop_
_atom_site_label
_atom_site_type_symbol
_atom_site_fract_x
_atom_site_fract_y
_atom_site_fract_z
Co1 Co 0.111 0.000 0.263
P1 P 0.000 0.500 0.500
W1 W 0.500 0.500 0.000
```

Computed properties:
Calculated total energy ... -8.256 eV/atom

***

A plane-wave DFT calculation with PBE was carried out for Co2PW after structural relaxation.

CIF file:
```
data_Co2PW
_chemical_formula_sum 'Co2 P1 W1'
_cell_length_a 2.825
_cell_length_b 2.825
_cell_length_c 6.059
_cell_angle_alpha 90.00
_cell_angle_beta 90.00
_cell_angle_gamma 90.00
_space_group_name_H-M_alt 'P 4 m m'
_space_group_IT_number 99
_space_group_name_Hall 'P 4 -2'
loop_
_atom_site_label
_atom_site_type_symbol
_atom_site_fract_x
_atom_site_fract_y
_atom_site_fract_z
Co1 Co 0.000 0.000 0.000
Co2 Co 0.500 0.500 0.276
P1 P 0.000 0.000 0.445
W1 W 0.500 0.500 0.740
```

Computed properties:
Calculated total energy ... -8.176 eV/atom

***

A plane-wave DFT calculation with PBE was carried out for Co2PW after structural relaxation.

CIF file:
```
data_Co2PW
_chemical_formula_sum 'Co4 P2 W2'
_cell_length_a 2.854
_cell_length_b 4.114
_cell_length_c 8.144
_cell_angle_alpha 90.00
_cell_angle_beta 90.00
_cell_angle_gamma 90.00
_space_group_name_H-M_alt 'I m m m'
_space_group_IT_number 71
_space_group_name_Hall '-I 2 2'
loop_
_atom_site_label
_atom_site_type_symbol
_atom_site_fract_x
_atom_site_fract_y
_atom_site_fract_z
Co1 Co 0.000 0.000 0.218
P1 P 0.000 0.500 0.500
W1 W 0.000 0.500 0.000
```

Computed properties:
Calculated total energy ... -8.273 eV/atom

***

A plane-wave DFT calculation with PBE was carried out for Co2PW after structural relaxation.

CIF file:
```
data_Co2PW
_chemical_formula_sum 'Co6 P3 W3'
_cell_length_a 2.7399
_cell_length_b 2.7399
_cell_length_c 23.3597
_cell_angle_alpha 90.00
_cell_angle_beta 90.00
_cell_angle_gamma 120.00
_space_group_name_H-M_alt 'R 3 m'
_space_group_IT_number 160
_space_group_name_Hall 'R 3 -2"'
loop_
_atom_site_label
_atom_site_type_symbol
_atom_site_fract_x
_atom_site_fract_y
_atom_site_fract_z
Co1 Co 0.0000 0.0000 0.0000
Co2 Co 0.0000 0.0000 0.2473
P1 P 0.0000 0.0000 0.5119
W1 W 0.0000 0.0000 0.7549
```

Computed properties:
Calculated total energy ... -7.977 eV/atom

***

A plane-wave DFT calculation with PBE was carried out for Co2PW after structural relaxation.

CIF file:
```
data_Co2PW
_chemical_formula_sum 'Co2 P1 W1'
_cell_length_a 3.609
_cell_length_b 3.609
_cell_length_c 3.665
_cell_angle_alpha 90.00
_cell_angle_beta 90.00
_cell_angle_gamma 90.00
_space_group_name_H-M_alt 'P 4/m m m'
_space_group_IT_number 123
_space_group_name_Hall '-P 4 2'
loop_
_atom_site_label
_atom_site_type_symbol
_atom_site_fract_x
_atom_site_fract_y
_atom_site_fract_z
Co1 Co 0.000 0.500 0.000
P1 P 0.000 0.000 0.500
W1 W 0.500 0.500 0.500
```

Computed properties:
Calculated total energy ... -8.132 eV/atom

***

A plane-wave DFT calculation with PBE was carried out for Co2PW after structural relaxation.

CIF file:
```
data_Co2PW
_chemical_formula_sum 'Co2 P1 W1'
_cell_length_a 2.708
_cell_length_b 2.708
_cell_length_c 6.515
_cell_angle_alpha 90.00
_cell_angle_beta 90.00
_cell_angle_gamma 90.00
_space_group_name_H-M_alt 'P 4/m m m'
_space_group_IT_number 123
_space_group_name_Hall '-P 4 2'
loop_
_atom_site_label
_atom_site_type_symbol
_atom_site_fract_x
_atom_site_fract_y
_atom_site_fract_z
Co1 Co 0.000 0.000 0.201
P1 P 0.500 0.500 0.000
W1 W 0.500 0.500 0.500
```

Computed properties:
Calculated total energy ... -8.259 eV/atom

***

A plane-wave DFT calculation with PBE was carried out for Co2PW after structural relaxation.

CIF file:
```
data_Co2PW
_chemical_formula_sum 'Co4 P2 W2'
_cell_length_a 3.331
_cell_length_b 2.758
_cell_length_c 10.709
_cell_angle_alpha 90.00
_cell_angle_beta 90.00
_cell_angle_gamma 90.00
_space_group_name_H-M_alt 'A m m 2'
_space_group_IT_number 38
_space_group_name_Hall 'A 2 -2'
loop_
_atom_site_label
_atom_site_type_symbol
_atom_site_fract_x
_atom_site_fract_y
_atom_site_fract_z
Co1 Co 0.000 0.000 0.000
Co2 Co 0.500 0.000 0.354
P1 P 0.500 0.000 0.559
W1 W 0.000 0.000 0.731
```

Computed properties:
Calculated total energy ... -8.366 eV/atom

***

A plane-wave DFT calculation with PBE was carried out for Co2PW after structural relaxation.

CIF file:
```
data_Co2PW
_chemical_formula_sum 'Co4 P2 W2'
_cell_length_a 3.569
_cell_length_b 3.569
_cell_length_c 7.536
_cell_angle_alpha 90.00
_cell_angle_beta 90.00
_cell_angle_gamma 90.00
_space_group_name_H-M_alt 'I 4/m m m'
_space_group_IT_number 139
_space_group_name_Hall '-I 4 2'
loop_
_atom_site_label
_atom_site_type_symbol
_atom_site_fract_x
_atom_site_fract_y
_atom_site_fract_z
Co1 Co 0.000 0.500 0.250
P1 P 0.000 0.000 0.000
W1 W 0.000 0.000 0.500
```

Computed properties:
Calculated total energy ... -8.139 eV/atom

***

Question: Which formula does entry 4 have?
Answer: CoPW4

***

Question: Which formula does entry 11 have?
Answer: Co2PW

***

Question: What is the formula in the twelfth record?
Answer: Co2PW

***

What did the sixth record say?
A plane-wave DFT calculation with PBE was carried out for Co2PW after structural relaxation.

CIF file:
```
data_Co2PW
_chemical_formula_sum 'Co2 P1 W1'
_cell_length_a 2.825
_cell_length_b 2.825
_cell_length_c 6.059
_cell_angle_alpha 90.00
_cell_angle_beta 90.00
_cell_angle_gamma 90.00
_space_group_name_H-M_alt 'P 4 m m'
_space_group_IT_number 99
_space_group_name_Hall 'P 4 -2'
loop_
_atom_site_label
_atom_site_type_symbol
_atom_site_fract_x
_atom_site_fract_y
_atom_site_fract_z
Co1 Co 0.000 0.000 0.000
Co2 Co 0.500 0.500 0.276
P1 P 0.000 0.000 0.445
W1 W 0.500 0.500 0.740
```

Computed properties:
Calculated total energy ... -8.176 eV/atom